[1]
# CdMoW PBE relaxed
# **Energy of formation**: 46.5 kJ per mole of atoms
# **Energy above the lowest structure with this stoichiometry**: 123 meV per atom
# **Theoretical density**: 12.70 g cm⁻³
# **Density of states at the Fermi level**: 0.3715 states/eV/atom
# **V**: 17.09 A^3/atom
data_CdMoW
_cell_length_a 2.7085
_cell_length_b 4.4408
_cell_length_c 8.5262
_cell_angle_alpha 90.00
_cell_angle_beta 90.00
_cell_angle_gamma 90.00
_symmetry_space_group_name_H-M 'I m m 2'
_symmetry_Int_Tables_number 44
loop_
_symmetry_equiv_pos_as_xyz
'x,y,z'
'-x,-y,z'
'-x,y,z'
'x,-y,z'
'x+1/2,y+1/2,z+1/2'
'-x+1/2,-y+1/2,z+1/2'
'-x+1/2,y+1/2,z+1/2'
'x+1/2,-y+1/2,z+1/2'
loop_
_atom_site_label
_atom_site_fract_x
_atom_site_fract_y
_atom_site_fract_z
Cd1 0.0000 0.0000 0.0000
Mo1 0.0000 0.0000 0.6661
W1 0.0000 0.0000 0.3338



[2]
# CdMoW PBE relaxed
# **Energy of formation**: 39.9 kJ per mole of atoms
# **Energy above the lowest structure with this stoichiometry**: 55 meV per atom
# **Theoretical density**: 12.68 g cm⁻³
# **Density of states at the Fermi level**: 0.4353 states/eV/atom
# **V**: 17.12 A^3/atom
data_CdMoW
_cell_length_a 4.6422
_cell_length_b 4.6422
_cell_length_c 2.7516
_cell_angle_alpha 90.00
_cell_angle_beta 90.00
_cell_angle_gamma 120.00
_symmetry_space_group_name_H-M 'P 3 m 1'
_symmetry_Int_Tables_number 156
loop_
_symmetry_equiv_pos_as_xyz
'x,y,z'
'-y,x-y,z'
'-x+y,-x,z'
'-y,-x,z'
'-x+y,y,z'
'x,x-y,z'
loop_
_atom_site_label
_atom_site_fract_x
_atom_site_fract_y
_atom_site_fract_z
Cd1 0.0000 0.0000 0.0000
Mo1 0.3333 0.6667 0.3761
W1 0.6667 0.3333 0.6239



[3]
# CdMo2W PBE relaxed
# **Energy of formation**: 35.9 kJ per mole of atoms
# **Theoretical density**: 11.75 g cm⁻³
# **Density of states at the Fermi level**: 1.0268 states/eV/atom
# **V**: 17.25 A^3/atom
data_CdMo2W
_cell_length_a 3.2914
_cell_length_b 3.2914
_cell_length_c 6.3682
_cell_angle_alpha 90.00
_cell_angle_beta 90.00
_cell_angle_gamma 90.00
_symmetry_space_group_name_H-M 'P 4/m m m'
_symmetry_Int_Tables_number 123
_symmetry_space_group_name_Hall '-P 4 2'
loop_
_atom_site_label
_atom_site_fract_x
_atom_site_fract_y
_atom_site_fract_z
Cd1 0.0000 0.0000 0.0000
Mo1 0.5000 0.5000 0.2824
W1 0.0000 0.0000 0.5000



[4]
# CdMo2W PBE relaxed
# **Energy of formation**: 40.7 kJ per mole of atoms
# **Theoretical density**: 11.99 g cm⁻³
# **Density of states at the Fermi level**: 0.5312 states/eV/atom
# **V**: 16.91 A^3/atom
data_CdMo2W
_cell_length_a 3.2706
_cell_length_b 4.5381
_cell_length_c 9.1126
_cell_angle_alpha 90.00
_cell_angle_beta 90.00
_cell_angle_gamma 90.00
_symmetry_space_group_name_H-M 'I m m 2'
_symmetry_Int_Tables_number 44
loop_
_symmetry_equiv_pos_as_xyz
'x,y,z'
'-x,-y,z'
'-x,y,z'
'x,-y,z'
'x+1/2,y+1/2,z+1/2'
'-x+1/2,-y+1/2,z+1/2'
'-x+1/2,y+1/2,z+1/2'
'x+1/2,-y+1/2,z+1/2'
loop_
_atom_site_label
_atom_site_fract_x
_atom_site_fract_y
_atom_site_fract_z
Cd1 0.0000 0.0000 0.0000
Mo1 0.0000 0.0000 0.5016
Mo2 0.0000 0.5000 0.7684
W1 0.0000 0.5000 0.2316



[5]
# CdMo2W PBE relaxed
# **Energy of formation**: 46.9 kJ per mole of atoms
# **Theoretical density**: 12.05 g cm⁻³
# **Density of states at the Fermi level**: 0.7370 states/eV/atom
# **V**: 16.82 A^3/atom
data_CdMo2W
_cell_length_a 5.7505
_cell_length_b 8.6880
_cell_length_c 2.6932
_cell_angle_alpha 90.00
_cell_angle_beta 90.00
_cell_angle_gamma 90.00
_symmetry_space_group_name_H-M 'C m m m'
_symmetry_Int_Tables_number 65
_symmetry_space_group_name_Hall '-C 2 2'
loop_
_atom_site_label
_atom_site_fract_x
_atom_site_fract_y
_atom_site_fract_z
Cd1 0.0000 0.0000 0.0000
Mo1 0.2500 0.2500 0.5000
W1 0.0000 0.5000 0.0000



[6]
# CdMoW PBE relaxed
# **Energy of formation**: 52.6 kJ per mole of atoms
# **Energy above the lowest structure with this stoichiometry**: 187 meV per atom
# **Theoretical density**: 12.53 g cm⁻³
# **Density of states at the Fermi level**: 0.5414 states/eV/atom
# **V**: 17.32 A^3/atom
data_CdMoW
_cell_length_a 2.7163
_cell_length_b 2.7163
_cell_length_c 14.0841
_cell_angle_alpha 90.00
_cell_angle_beta 90.00
_cell_angle_gamma 90.00
_symmetry_space_group_name_H-M 'I 4 m m'
_symmetry_Int_Tables_number 107
_symmetry_space_group_name_Hall 'I 4 -2'
loop_
_atom_site_label
_atom_site_fract_x
_atom_site_fract_y
_atom_site_fract_z
Cd1 0.0000 0.0000 0.0000
Mo1 0.0000 0.0000 0.3310
W1 0.0000 0.0000 0.6694



[7]
# CdMo2W PBE relaxed
# **Energy of formation**: 21.2 kJ per mole of atoms
# **Theoretical density**: 11.93 g cm⁻³
# **Density of states at the Fermi level**: 0.6185 states/eV/atom
# **V**: 16.99 A^3/atom
data_CdMo2W
_cell_length_a 3.2284
_cell_length_b 4.5014
_cell_length_c 9.3526
_cell_angle_alpha 90.00
_cell_angle_beta 90.00
_cell_angle_gamma 90.00
_symmetry_space_group_name_H-M 'C m m m'
_symmetry_Int_Tables_number 65
_symmetry_space_group_name_Hall '-C 2 2'
loop_
_atom_site_label
_atom_site_fract_x
_atom_site_fract_y
_atom_site_fract_z
Cd1 0.0000 0.0000 0.0000
Mo1 0.0000 0.5000 0.2663
W1 0.0000 0.0000 0.5000



[8]
# CdMo2W PBE relaxed
# **Energy of formation**: 43.9 kJ per mole of atoms
# **Theoretical density**: 11.95 g cm⁻³
# **Density of states at the Fermi level**: 0.5561 states/eV/atom
# **V**: 16.96 A^3/atom
data_CdMo2W
_cell_length_a 3.2773
_cell_length_b 4.5696
_cell_length_c 9.0587
_cell_angle_alpha 90.00
_cell_angle_beta 90.00
_cell_angle_gamma 90.00
_symmetry_space_group_name_H-M 'I m m m'
_symmetry_Int_Tables_number 71
_symmetry_space_group_name_Hall '-I 2 2'
loop_
_atom_site_label
_atom_site_fract_x
_atom_site_fract_y
_atom_site_fract_z
Cd1 0.0000 0.0000 0.0000
Mo1 0.0000 0.5000 0.2320
W1 0.0000 0.0000 0.5000



[9]
# CdMoW PBE relaxed
# **Energy of formation**: 42.7 kJ per mole of atoms
# **Energy above the lowest structure with this stoichiometry**: 84 meV per atom
# **Theoretical density**: 12.22 g cm⁻³
# **Density of states at the Fermi level**: 0.5627 states/eV/atom
# **V**: 17.77 A^3/atom
data_CdMoW
_cell_length_a 3.3189
_cell_length_b 3.3189
_cell_length_c 9.6765
_cell_angle_alpha 90.00
_cell_angle_beta 90.00
_cell_angle_gamma 90.00
_symmetry_space_group_name_H-M 'I 4 m m'
_symmetry_Int_Tables_number 107
_symmetry_space_group_name_Hall 'I 4 -2'
loop_
_atom_site_label
_atom_site_fract_x
_atom_site_fract_y
_atom_site_fract_z
Cd1 0.0000 0.0000 0.0000
Mo1 0.0000 0.0000 0.3120
W1 0.0000 0.0000 0.6883



[10]
# CdMoW PBE relaxed
# **Energy of formation**: 113.6 kJ per mole of atoms
# **Energy above the lowest structure with this stoichiometry**: 819 meV per atom
# **Theoretical density**: 10.53 g cm⁻³
# **Density of states at the Fermi level**: 0.4933 states/eV/atom
# **V**: 20.61 A^3/atom
data_CdMoW
_cell_length_a 6.2766
_cell_length_b 6.2766
_cell_length_c 6.2766
_cell_angle_alpha 90.00
_cell_angle_beta 90.00
_cell_angle_gamma 90.00
_symmetry_space_group_name_H-M 'F -4 3 m'
_symmetry_Int_Tables_number 216
_symmetry_space_group_name_Hall 'F -4 2 3'
loop_
_atom_site_label
_atom_site_fract_x
_atom_site_fract_y
_atom_site_fract_z
Cd1 0.0000 0.0000 0.0000
Mo1 0.2500 0.2500 0.2500
W1 0.0000 0.0000 0.5000



[11]
# CdMo2W PBE relaxed
# **Energy of formation**: 35.8 kJ per mole of atoms
# **Theoretical density**: 11.97 g cm⁻³
# **Density of states at the Fermi level**: 0.4496 states/eV/atom
# **V**: 16.92 A^3/atom
data_CdMo2W
_cell_length_a 2.7277
_cell_length_b 4.4973
_cell_length_c 5.6636
_cell_angle_alpha 90.00
_cell_angle_beta 103.01
_cell_angle_gamma 90.00
_symmetry_space_group_name_H-M 'P 1 2/m 1'
_symmetry_Int_Tables_number 10
loop_
_symmetry_equiv_pos_as_xyz
'x,y,z'
'-x,-y,-z'
'-x,y,-z'
'x,-y,z'
loop_
_atom_site_label
_atom_site_fract_x
_atom_site_fract_y
_atom_site_fract_z
Cd1 0.0000 0.0000 0.0000
Mo1 0.2637 0.5000 0.7319
W1 0.5000 0.0000 0.5000



[12]
# CdMo3W PBE relaxed
# **Energy of formation**: 278.8 kJ per mole of atoms
# **Energy above the lowest structure with this stoichiometry**: 1236 meV per atom
# **Theoretical density**: 9.07 g cm⁻³
# **Density of states at the Fermi level**: 1.8912 states/eV/atom
# **V**: 21.39 A^3/atom
data_CdMo3W
_cell_length_a 4.7471
_cell_length_b 4.7471
_cell_length_c 4.7471
_cell_angle_alpha 90.00
_cell_angle_beta 90.00
_cell_angle_gamma 90.00
_symmetry_space_group_name_H-M 'P m -3 m'
_symmetry_Int_Tables_number 221
_symmetry_space_group_name_Hall '-P 4 2 3'
loop_
_atom_site_label
_atom_site_fract_x
_atom_site_fract_y
_atom_site_fract_z
Cd1 0.0000 0.0000 0.0000
Mo1 0.0000 0.0000 0.5000
W1 0.5000 0.5000 0.5000



[13]
# CdMo2W PBE relaxed
# **Energy of formation**: 41.9 kJ per mole of atoms
# **Theoretical density**: 11.76 g cm⁻³
# **Density of states at the Fermi level**: 0.9413 states/eV/atom
# **V**: 17.23 A^3/atom
data_CdMo2W
_cell_length_a 3.3449
_cell_length_b 3.3449
_cell_length_c 6.1605
_cell_angle_alpha 90.00
_cell_angle_beta 90.00
_cell_angle_gamma 90.00
_symmetry_space_group_name_H-M 'P 4 m m'
_symmetry_Int_Tables_number 99
loop_
_symmetry_equiv_pos_as_xyz
'x,y,z'
'-y,x,z'
'-x,-y,z'
'y,-x,z'
'-x,y,z'
'y,x,z'
'x,-y,z'
'-y,-x,z'
loop_
_atom_site_label
_atom_site_fract_x
_atom_site_fract_y
_atom_site_fract_z
Cd1 0.0000 0.0000 0.0000
Mo1 0.0000 0.0000 0.4987
Mo2 0.5000 0.5000 0.2822
W1 0.5000 0.5000 0.7139



[14]
# CdMo2W PBE relaxed
# **Energy of formation**: 59.7 kJ per mole of atoms
# **Theoretical density**: 12.01 g cm⁻³
# **Density of states at the Fermi level**: 1.3017 states/eV/atom
# **V**: 16.87 A^3/atom
data_CdMo2W
_cell_length_a 6.4623
_cell_length_b 6.4623
_cell_length_c 6.4623
_cell_angle_alpha 90.00
_cell_angle_beta 90.00
_cell_angle_gamma 90.00
_symmetry_space_group_name_H-M 'F -4 3 m'
_symmetry_Int_Tables_number 216
_symmetry_space_group_name_Hall 'F -4 2 3'
loop_
_atom_site_label
_atom_site_fract_x
_atom_site_fract_y
_atom_site_fract_z
Cd1 0.0000 0.0000 0.0000
Mo1 0.0000 0.0000 0.5000
Mo2 0.2500 0.2500 0.2500
W1 0.2500 0.2500 0.7500



[15]
# CdMo2W PBE relaxed
# **Energy of formation**: 52.0 kJ per mole of atoms
# **Theoretical density**: 12.11 g cm⁻³
# **Density of states at the Fermi level**: 0.9312 states/eV/atom
# **V**: 16.73 A^3/atom
data_CdMo2W
_cell_length_a 4.0118
_cell_length_b 4.0118
_cell_length_c 8.3171
_cell_angle_alpha 90.00
_cell_angle_beta 90.00
_cell_angle_gamma 90.00
_symmetry_space_group_name_H-M 'I -4 m 2'
_symmetry_Int_Tables_number 119
_symmetry_space_group_name_Hall 'I -4 -2'
loop_
_atom_site_label
_atom_site_fract_x
_atom_site_fract_y
_atom_site_fract_z
Cd1 0.0000 0.0000 0.0000
Mo1 0.0000 0.0000 0.5000
Mo2 0.0000 0.5000 0.7500
W1 0.0000 0.5000 0.2500



[16]
# CdMo2W PBE relaxed
# **Energy of formation**: 49.0 kJ per mole of atoms
# **Theoretical density**: 11.99 g cm⁻³
# **Density of states at the Fermi level**: 0.6455 states/eV/atom
# **V**: 16.90 A^3/atom
data_CdMo2W
_cell_length_a 9.6259
_cell_length_b 2.6961
_cell_length_c 5.2323
_cell_angle_alpha 90.00
_cell_angle_beta 95.36
_cell_angle_gamma 90.00
_symmetry_space_group_name_H-M 'C 1 m 1'
_symmetry_Int_Tables_number 8
loop_
_symmetry_equiv_pos_as_xyz
'x,y,z'
'x,-y,z'
'x+1/2,y+1/2,z'
'x+1/2,-y+1/2,z'
loop_
_atom_site_label
_atom_site_fract_x
_atom_site_fract_y
_atom_site_fract_z
Cd1 0.0000 0.0000 0.0000
Mo1 0.2514 0.0000 0.7490
Mo2 0.4986 0.0000 0.5010
W1 0.2488 0.5000 0.2578



[17]
# CdMo2W PBE relaxed
# **Energy of formation**: 40.9 kJ per mole of atoms
# **Theoretical density**: 12.09 g cm⁻³
# **Density of states at the Fermi level**: 0.4425 states/eV/atom
# **V**: 16.76 A^3/atom
data_CdMo2W
_cell_length_a 5.6535
_cell_length_b 9.1779
_cell_length_c 2.7198
_cell_angle_alpha 90.00
_cell_angle_beta 108.14
_cell_angle_gamma 90.00
_symmetry_space_group_name_H-M 'C 1 2/m 1'
_symmetry_Int_Tables_number 12
loop_
_symmetry_equiv_pos_as_xyz
'x,y,z'
'-x,-y,-z'
'-x,y,-z'
'x,-y,z'
'x+1/2,y+1/2,z'
'-x+1/2,-y+1/2,-z'
'-x+1/2,y+1/2,-z'
'x+1/2,-y+1/2,z'
loop_
_atom_site_label
_atom_site_fract_x
_atom_site_fract_y
_atom_site_fract_z
Cd1 0.0000 0.0000 0.0000
Mo1 0.2500 0.2500 0.5000
W1 0.0000 0.5000 0.0000



[18]
# CdMo2W PBE relaxed
# **Energy of formation**: 43.8 kJ per mole of atoms
# **Theoretical density**: 11.95 g cm⁻³
# **Density of states at the Fermi level**: 0.7564 states/eV/atom
# **V**: 16.96 A^3/atom
data_CdMo2W
_cell_length_a 2.6723
_cell_length_b 4.4078
_cell_length_c 5.7600
_cell_angle_alpha 90.00
_cell_angle_beta 90.00
_cell_angle_gamma 90.00
_symmetry_space_group_name_H-M 'P m m m'
_symmetry_Int_Tables_number 47
loop_
_symmetry_equiv_pos_as_xyz
'x,y,z'
'-x,-y,-z'
'-x,-y,z'
'x,y,-z'
'x,-y,-z'
'-x,y,z'
'-x,y,-z'
'x,-y,z'
loop_
_atom_site_label
_atom_site_fract_x
_atom_site_fract_y
_atom_site_fract_z
Cd1 0.0000 0.0000 0.0000
Mo1 0.5000 0.5000 0.2633
W1 0.0000 0.0000 0.5000



[19]
# CdMo2W PBE relaxed
# **Energy of formation**: 42.0 kJ per mole of atoms
# **Theoretical density**: 11.89 g cm⁻³
# **Density of states at the Fermi level**: 0.7806 states/eV/atom
# **V**: 17.05 A^3/atom
data_CdMo2W
_cell_length_a 2.6949
_cell_length_b 2.6949
_cell_length_c 9.3893
_cell_angle_alpha 90.00
_cell_angle_beta 90.00
_cell_angle_gamma 90.00
_symmetry_space_group_name_H-M 'P 4/m m m'
_symmetry_Int_Tables_number 123
_symmetry_space_group_name_Hall '-P 4 2'
loop_
_atom_site_label
_atom_site_fract_x
_atom_site_fract_y
_atom_site_fract_z
Cd1 0.0000 0.0000 0.0000
Mo1 0.5000 0.5000 0.2566
W1 0.0000 0.0000 0.5000



[20]
# CdMo3W PBE relaxed
# **Energy of formation**: 159.5 kJ per mole of atoms
# **Energy above the lowest structure with this stoichiometry**: 0 meV per atom
# **Theoretical density**: 8.84 g cm⁻³
# **Density of states at the Fermi level**: 1.2158 states/eV/atom
# **V**: 21.94 A^3/atom
data_CdMo3W
_cell_length_a 4.7868
_cell_length_b 4.7868
_cell_length_c 4.7868
_cell_angle_alpha 90.00
_cell_angle_beta 90.00
_cell_angle_gamma 90.00
_symmetry_space_group_name_H-M 'P m -3 m'
_symmetry_Int_Tables_number 221
_symmetry_space_group_name_Hall '-P 4 2 3'
loop_
_atom_site_label
_atom_site_fract_x
_atom_site_fract_y
_atom_site_fract_z
Cd1 0.0000 0.0000 0.0000
Mo1 0.0000 0.5000 0.5000
W1 0.5000 0.5000 0.5000